Below is an optimized crystal structure of RbNa2Pb2, with properties calculated at the PBE-GGA level.

- total moment (μB per formula unit) = 0.0
- symmetry = P4/mbm
- mass density (g cm⁻³) = 5.37
- ΔE_f (eV per atom) = -0.096

Lattice parameters (Å, degrees): 9.719 9.719 3.573 90.00 90.00 90.00
Positions (direct):
Rb  0.000  0.000  0.000
Rb  0.500  0.500  0.000
Na  0.162  0.338  0.000
Na  0.338  0.838  0.000
Na  0.662  0.162  0.000
Na  0.838  0.662  0.000
Pb  0.127  0.627  0.500
Pb  0.373  0.127  0.500
Pb  0.627  0.873  0.500
Pb  0.873  0.373  0.500